(1)
The following is a PBE calculation of an optimized crystal structure of TlTc, from OQMD via LeMat-Bulk.

CIF file:
```
data_TlTc
_chemical_formula_sum 'Tl2 Tc2'
_cell_length_a 4.5290
_cell_length_b 3.0764
_cell_length_c 5.3172
_cell_angle_alpha 90.00
_cell_angle_beta 90.00
_cell_angle_gamma 90.00
_symmetry_space_group_name_H-M 'A m m 2'
_symmetry_Int_Tables_number 38
loop_
_symmetry_equiv_pos_as_xyz
'x,y,z'
'-x,-y,z'
'-x,y,z'
'x,-y,z'
'x,y+1/2,z+1/2'
'-x,-y+1/2,z+1/2'
'-x,y+1/2,z+1/2'
'x,-y+1/2,z+1/2'
loop_
_atom_site_label
_atom_site_fract_x
_atom_site_fract_y
_atom_site_fract_z
Tl1 0.0000 0.0000 0.0000
Tc1 0.5000 0.0000 0.6666
```

## Properties
The calculation puts the energy above the most stable polymorph in this dataset at 0 meV/atom.

---

(2)
The following is a PBE calculation of an optimized crystal structure of YTl2Tc, from OQMD via LeMat-Bulk.

CIF file:
```
data_YTl2Tc
_chemical_formula_sum 'Y4 Tl8 Tc4'
_cell_length_a 7.1379
_cell_length_b 7.1379
_cell_length_c 7.1379
_cell_angle_alpha 90.00
_cell_angle_beta 90.00
_cell_angle_gamma 90.00
_symmetry_space_group_name_H-M 'F -4 3 m'
_symmetry_Int_Tables_number 216
_symmetry_space_group_name_Hall 'F -4 2 3'
loop_
_atom_site_label
_atom_site_fract_x
_atom_site_fract_y
_atom_site_fract_z
Y1 0.0000 0.0000 0.0000
Tl1 0.0000 0.0000 0.5000
Tl2 0.2500 0.2500 0.2500
Tc1 0.2500 0.2500 0.7500
```

## Properties
The value obtained for the uncorrected energy is -4.93 eV/atom.